Entry from the Alexandria database: crystalline MgMnIn2 at its relaxed geometry (PBE).

Calculated values
space-group type	P2/m
calculated density	6.02	g cm⁻³
M_tot	3.745	μB/f.u.
raw total energy	-3.92	eV per atom
volume	85.16	Å³/cell
E_form	0.137	eV/atom

Unit cell a=3.258 b=5.575 c=5.980 alpha=51.64 beta=90.00 gamma=90.00
Fractional positions:
1 Mn 0.000 0.000 0.500
2 In 0.500 0.500 0.000
3 Mg 0.500 0.500 0.500
4 In 0.000 0.000 0.000